No. 1
Computed, not measured: a crystal of Y2ZnIn relaxed with PBEsol at the SCAN level of DFT.

Unit cell a=5.123 b=5.123 c=5.123 alpha=60.00 beta=60.00 gamma=60.00
Sites, in units of the cell vectors:
Y  0.250  0.250  0.250
Y  0.750  0.750  0.750
Zn  0.000  0.000  0.000
In  0.500  0.500  0.500

Summary:
- DOS at the Fermi energy: 2.902 states/eV per cell
- Raw total energy: -26.220 eV per atom
- SG: Fm-3m (225)
- Energy of formation from the pure elements: -573.3 meV/atom

---

No. 2
Computed, not measured: a crystal of YZn2In relaxed with PBEsol at the SCAN level of DFT.

Unit cell a=4.419 b=4.419 c=4.075 alpha=90.00 beta=90.00 gamma=90.00
Sites, in units of the cell vectors:
Y  0.000  0.000  0.000
Zn  0.000  0.500  0.500
Zn  0.500  0.000  0.500
In  0.500  0.500  0.000

Summary:
- DOS at the Fermi energy: 1.990 states/eV per cell
- Raw total energy: -22.447 eV per atom
- SG: P4/mmm (123)
- Energy of formation from the pure elements: -382.4 meV/atom

---

No. 3
Computed, not measured: a crystal of YZnIn relaxed with PBEsol at the SCAN level of DFT.

Unit cell a=5.836 b=5.836 c=5.836 alpha=133.79 beta=104.68 gamma=93.13
Sites, in units of the cell vectors:
Y  0.000  0.000  0.000
Y  0.507  0.007  0.500
Zn  0.467  0.671  0.796
Zn  0.876  0.671  0.204
In  0.103  0.335  0.768
In  0.567  0.335  0.232

Summary:
- DOS at the Fermi energy: 2.644 states/eV per cell
- Raw total energy: -25.525 eV per atom
- SG: Imm2 (44)
- Energy of formation from the pure elements: -610.4 meV/atom

---

No. 4
Computed, not measured: a crystal of Y2ZnIn relaxed with PBEsol at the SCAN level of DFT.

Unit cell a=6.104 b=6.104 c=6.104 alpha=145.32 beta=132.18 gamma=60.41
Sites, in units of the cell vectors:
Y  0.000  0.000  0.000
Y  0.726  0.226  0.500
Zn  0.249  0.749  0.500
In  0.445  0.445  0.000

Summary:
- DOS at the Fermi energy: 3.573 states/eV per cell
- Raw total energy: -26.114 eV per atom
- SG: Imm2 (44)
- Energy of formation from the pure elements: -466.8 meV/atom

---

No. 5
Computed, not measured: a crystal of YZnIn relaxed with PBEsol at the SCAN level of DFT.

Unit cell a=4.604 b=4.604 c=4.604 alpha=60.00 beta=60.00 gamma=60.00
Sites, in units of the cell vectors:
Y  0.000  0.000  0.000
Zn  0.750  0.750  0.750
In  0.500  0.500  0.500

Summary:
- DOS at the Fermi energy: 0.552 states/eV per cell
- Raw total energy: -25.503 eV per atom
- SG: F-43m (216)
- Energy of formation from the pure elements: -587.8 meV/atom

---

No. 6
Computed, not measured: a crystal of Y2ZnIn relaxed with PBEsol at the SCAN level of DFT.

Unit cell a=3.581 b=3.581 c=7.340 alpha=90.00 beta=90.00 gamma=90.00
Sites, in units of the cell vectors:
Y  0.000  0.000  0.232
Y  0.000  0.000  0.768
Zn  0.500  0.500  0.000
In  0.500  0.500  0.500

Summary:
- DOS at the Fermi energy: 2.855 states/eV per cell
- Raw total energy: -26.229 eV per atom
- SG: P4/mmm (123)
- Energy of formation from the pure elements: -582.6 meV/atom

---

No. 7
Computed, not measured: a crystal of Y2ZnIn2 relaxed with PBEsol at the SCAN level of DFT.

Unit cell a=7.127 b=7.127 c=4.745 alpha=90.00 beta=90.00 gamma=90.00
Sites, in units of the cell vectors:
Y  0.168  0.332  0.000
Y  0.332  0.832  0.000
Y  0.668  0.168  0.000
Y  0.832  0.668  0.000
Zn  0.000  0.000  0.500
Zn  0.500  0.500  0.500
In  0.141  0.641  0.500
In  0.359  0.141  0.500
In  0.641  0.859  0.500
In  0.859  0.359  0.500

Summary:
- DOS at the Fermi energy: 4.092 states/eV per cell
- Raw total energy: -27.733 eV per atom
- SG: P4/mbm (127)
- Energy of formation from the pure elements: -538.3 meV/atom

---

No. 8
Computed, not measured: a crystal of Y2ZnIn relaxed with PBEsol at the SCAN level of DFT.

Unit cell a=4.506 b=6.058 c=6.058 alpha=36.46 beta=90.00 gamma=90.00
Sites, in units of the cell vectors:
Y  0.000  0.000  0.000
Y  0.500  0.307  0.307
Zn  0.000  0.732  0.732
In  0.500  0.585  0.585

Summary:
- DOS at the Fermi energy: 3.367 states/eV per cell
- Raw total energy: -26.183 eV per atom
- SG: Amm2 (38)
- Energy of formation from the pure elements: -535.7 meV/atom

---

No. 9
Computed, not measured: a crystal of YZr2In relaxed with PBEsol at the SCAN level of DFT.

Unit cell a=4.499 b=4.499 c=4.525 alpha=90.00 beta=90.00 gamma=90.00
Sites, in units of the cell vectors:
Y  0.000  0.000  0.000
Zr  0.000  0.500  0.500
Zr  0.500  0.000  0.500
In  0.500  0.500  0.000

Summary:
- Polymorph energy (0 for the lowest one): 0.0 meV/atom
- DOS at the Fermi energy: 3.623 states/eV per cell
- Raw total energy: -30.920 eV per atom
- SG: P4/mmm (123)
- Energy of formation from the pure elements: -263.5 meV/atom

---

No. 10
Computed, not measured: a crystal of YZr4In relaxed with PBEsol at the SCAN level of DFT.

Unit cell a=5.832 b=5.832 c=5.832 alpha=60.00 beta=60.00 gamma=60.00
Sites, in units of the cell vectors:
Y  0.000  0.000  0.000
Zr  0.372  0.372  0.372
Zr  0.372  0.372  0.883
Zr  0.372  0.883  0.372
Zr  0.883  0.372  0.372
In  0.750  0.750  0.750

Summary:
- DOS at the Fermi energy: 8.295 states/eV per cell
- Raw total energy: -30.559 eV per atom
- SG: F-43m (216)
- Energy of formation from the pure elements: 111.8 meV/atom

---

No. 11
Computed, not measured: a crystal of YZr2In relaxed with PBEsol at the SCAN level of DFT.

Unit cell a=3.211 b=3.211 c=9.172 alpha=90.00 beta=90.00 gamma=90.00
Sites, in units of the cell vectors:
Y  0.000  0.000  0.000
Zr  0.000  0.000  0.510
Zr  0.500  0.500  0.273
In  0.500  0.500  0.746

Summary:
- Polymorph energy (0 for the lowest one): 44.3 meV/atom
- DOS at the Fermi energy: 3.636 states/eV per cell
- Raw total energy: -30.876 eV per atom
- SG: P4mm (99)
- Energy of formation from the pure elements: -219.3 meV/atom

---

No. 12
Computed, not measured: a crystal of YZr2In relaxed with PBEsol at the SCAN level of DFT.

Unit cell a=5.619 b=5.619 c=5.619 alpha=133.43 beta=133.43 gamma=67.97
Sites, in units of the cell vectors:
Y  0.000  0.000  0.000
Zr  0.250  0.750  0.500
Zr  0.750  0.250  0.500
In  0.500  0.500  0.000

Summary:
- Polymorph energy (0 for the lowest one): 15.6 meV/atom
- DOS at the Fermi energy: 3.521 states/eV per cell
- Raw total energy: -30.905 eV per atom
- SG: I4/mmm (139)
- Energy of formation from the pure elements: -247.9 meV/atom

---

No. 13
Computed, not measured: a crystal of YZr2In relaxed with PBEsol at the SCAN level of DFT.

Unit cell a=5.608 b=5.608 c=5.608 alpha=133.21 beta=133.21 gamma=68.32
Sites, in units of the cell vectors:
Y  0.000  0.000  0.000
Zr  0.500  0.500  0.000
Zr  0.750  0.250  0.500
In  0.250  0.750  0.500

Summary:
- Polymorph energy (0 for the lowest one): 21.7 meV/atom
- DOS at the Fermi energy: 2.600 states/eV per cell
- Raw total energy: -30.899 eV per atom
- SG: I-4m2 (119)
- Energy of formation from the pure elements: -241.8 meV/atom

---

No. 14
Computed, not measured: a crystal of Zn8In relaxed with PBEsol at the SCAN level of DFT.

Unit cell a=6.245 b=6.245 c=6.245 alpha=95.72 beta=95.72 gamma=143.20
Sites, in units of the cell vectors:
Zn  0.000  0.341  0.341
Zn  0.000  0.659  0.659
Zn  0.324  0.324  0.648
Zn  0.324  0.676  0.000
Zn  0.341  0.000  0.341
Zn  0.659  0.000  0.659
Zn  0.676  0.324  0.000
Zn  0.676  0.676  0.352
In  0.000  0.000  0.000

Summary:
- DOS at the Fermi energy: 2.535 states/eV per cell
- Raw total energy: -15.636 eV per atom
- SG: I4/mmm (139)
- Energy of formation from the pure elements: 87.1 meV/atom

---

No. 15
Computed, not measured: a crystal of ZnIn relaxed with PBEsol at the SCAN level of DFT.

Unit cell a=3.136 b=3.136 c=8.040 alpha=90.00 beta=90.00 gamma=90.00
Sites, in units of the cell vectors:
Zn  0.250  0.250  0.089
Zn  0.750  0.750  0.911
In  0.250  0.250  0.660
In  0.750  0.750  0.340

Summary:
- DOS at the Fermi energy: 1.477 states/eV per cell
- Raw total energy: -23.311 eV per atom
- SG: P4/nmm (129)
- Energy of formation from the pure elements: 139.6 meV/atom

---

No. 16
Computed, not measured: a crystal of ZnIn relaxed with PBEsol at the SCAN level of DFT.

Unit cell a=3.269 b=3.269 c=8.815 alpha=90.00 beta=90.00 gamma=120.00
Sites, in units of the cell vectors:
Zn  0.333  0.667  0.099
Zn  0.667  0.333  0.901
In  0.333  0.667  0.651
In  0.667  0.333  0.349

Summary:
- DOS at the Fermi energy: 1.548 states/eV per cell
- Raw total energy: -23.272 eV per atom
- SG: P-3m1 (164)
- Energy of formation from the pure elements: 179.0 meV/atom

---

No. 17
Computed, not measured: a crystal of ZnIn relaxed with PBEsol at the SCAN level of DFT.

Unit cell a=4.063 b=4.164 c=5.138 alpha=90.00 beta=112.60 gamma=90.00
Sites, in units of the cell vectors:
Zn  0.074  0.250  0.153
Zn  0.926  0.750  0.847
In  0.363  0.250  0.721
In  0.637  0.750  0.279

Summary:
- DOS at the Fermi energy: 1.071 states/eV per cell
- Raw total energy: -23.387 eV per atom
- SG: P2_1/m (11)
- Energy of formation from the pure elements: 64.0 meV/atom

---

No. 18
Computed, not measured: a crystal of ZnIn2 relaxed with PBEsol at the SCAN level of DFT.

Unit cell a=6.155 b=6.155 c=5.095 alpha=90.00 beta=90.00 gamma=42.97
Sites, in units of the cell vectors:
Zn  0.210  0.790  0.750
Zn  0.790  0.210  0.250
In  0.128  0.567  0.250
In  0.433  0.872  0.250
In  0.567  0.128  0.750
In  0.872  0.433  0.750

Summary:
- DOS at the Fermi energy: 2.348 states/eV per cell
- Raw total energy: -26.608 eV per atom
- SG: Cmcm (63)
- Energy of formation from the pure elements: 154.8 meV/atom

---

No. 19
Computed, not measured: a crystal of ZnIn2 relaxed with PBEsol at the SCAN level of DFT.

Unit cell a=6.568 b=6.568 c=6.568 alpha=151.42 beta=151.42 gamma=40.85
Sites, in units of the cell vectors:
Zn  0.000  0.000  0.000
In  0.347  0.347  0.000
In  0.653  0.653  0.000

Summary:
- DOS at the Fermi energy: 1.003 states/eV per cell
- Raw total energy: -26.617 eV per atom
- SG: I4/mmm (139)
- Energy of formation from the pure elements: 145.9 meV/atom

---

No. 20
Computed, not measured: a crystal of ZnIn4 relaxed with PBEsol at the SCAN level of DFT.

Unit cell a=5.606 b=5.606 c=5.606 alpha=98.60 beta=98.60 gamma=134.51
Sites, in units of the cell vectors:
Zn  0.000  0.000  0.000
In  0.209  0.403  0.612
In  0.403  0.791  0.193
In  0.597  0.209  0.807
In  0.791  0.597  0.388

Summary:
- DOS at the Fermi energy: 1.949 states/eV per cell
- Raw total energy: -29.273 eV per atom
- SG: I4/m (87)
- Energy of formation from the pure elements: 139.0 meV/atom

---

No. 21
Computed, not measured: a crystal of ZnIn2 relaxed with PBEsol at the SCAN level of DFT.

Unit cell a=12.813 b=12.813 c=3.221 alpha=96.79 beta=96.79 gamma=14.44
Sites, in units of the cell vectors:
Zn  0.125  0.125  0.375
Zn  0.875  0.875  0.625
In  0.302  0.302  0.052
In  0.448  0.448  0.198
In  0.552  0.552  0.802
In  0.698  0.698  0.948

Summary:
- DOS at the Fermi energy: 2.313 states/eV per cell
- Raw total energy: -26.656 eV per atom
- SG: C2/m (12)
- Energy of formation from the pure elements: 107.1 meV/atom

---

No. 22
Computed, not measured: a crystal of ZnIn2 relaxed with PBEsol at the SCAN level of DFT.

Unit cell a=4.475 b=4.475 c=3.914 alpha=90.00 beta=90.00 gamma=120.00
Sites, in units of the cell vectors:
Zn  0.000  0.000  0.000
In  0.333  0.667  0.282
In  0.667  0.333  0.718

Summary:
- DOS at the Fermi energy: 1.112 states/eV per cell
- Raw total energy: -26.634 eV per atom
- SG: P-3m1 (164)
- Energy of formation from the pure elements: 128.3 meV/atom

---

No. 23
Computed, not measured: a crystal of ZnIn2 relaxed with PBEsol at the SCAN level of DFT.

Unit cell a=4.586 b=4.586 c=4.586 alpha=60.00 beta=60.00 gamma=60.00
Sites, in units of the cell vectors:
Zn  0.000  0.000  0.000
In  0.250  0.250  0.250
In  0.750  0.750  0.750

Summary:
- DOS at the Fermi energy: 0.920 states/eV per cell
- Raw total energy: -26.756 eV per atom
- SG: Fm-3m (225)
- Energy of formation from the pure elements: 6.7 meV/atom

---

No. 24
Computed, not measured: a crystal of ZnIn relaxed with PBEsol at the SCAN level of DFT.

Unit cell a=6.945 b=4.175 c=5.521 alpha=90.00 beta=90.00 gamma=90.00
Sites, in units of the cell vectors:
Zn  0.040  0.250  0.127
Zn  0.460  0.750  0.627
Zn  0.540  0.250  0.373
Zn  0.960  0.750  0.873
In  0.164  0.250  0.612
In  0.336  0.750  0.112
In  0.664  0.250  0.888
In  0.836  0.750  0.388

Summary:
- DOS at the Fermi energy: 2.846 states/eV per cell
- Raw total energy: -23.360 eV per atom
- SG: Pnma (62)
- Energy of formation from the pure elements: 90.9 meV/atom

---

No. 25
Computed, not measured: a crystal of ZnIn2 relaxed with PBEsol at the SCAN level of DFT.

Unit cell a=5.739 b=5.739 c=5.739 alpha=148.06 beta=138.98 gamma=52.91
Sites, in units of the cell vectors:
Zn  0.000  0.000  0.000
In  0.346  0.346  0.000
In  0.654  0.654  0.000

Summary:
- DOS at the Fermi energy: 1.066 states/eV per cell
- Raw total energy: -26.597 eV per atom
- SG: Immm (71)
- Energy of formation from the pure elements: 166.1 meV/atom

---

No. 26
Computed, not measured: a crystal of ZnIn2 relaxed with PBEsol at the SCAN level of DFT.

Unit cell a=5.604 b=5.604 c=8.329 alpha=113.43 beta=113.43 gamma=32.89
Sites, in units of the cell vectors:
Zn  0.205  0.205  0.092
Zn  0.795  0.795  0.908
In  0.158  0.158  0.586
In  0.490  0.490  0.800
In  0.510  0.510  0.200
In  0.842  0.842  0.414

Summary:
- DOS at the Fermi energy: 1.867 states/eV per cell
- Raw total energy: -26.637 eV per atom
- SG: C2/m (12)
- Energy of formation from the pure elements: 125.3 meV/atom

---

No. 27
Computed, not measured: a crystal of ZnIn2 relaxed with PBEsol at the SCAN level of DFT.

Unit cell a=5.569 b=5.569 c=5.569 alpha=103.76 beta=103.76 gamma=121.62
Sites, in units of the cell vectors:
Zn  0.250  0.250  0.000
Zn  0.750  0.750  0.000
In  0.157  0.657  0.813
In  0.343  0.157  0.500
In  0.657  0.843  0.500
In  0.843  0.343  0.187

Summary:
- DOS at the Fermi energy: 1.768 states/eV per cell
- Raw total energy: -26.694 eV per atom
- SG: I4/mcm (140)
- Energy of formation from the pure elements: 68.8 meV/atom

---

No. 28
Computed, not measured: a crystal of ZrZnIn relaxed with PBEsol at the SCAN level of DFT.

Unit cell a=6.739 b=6.739 c=4.256 alpha=90.00 beta=90.00 gamma=143.93
Sites, in units of the cell vectors:
Zr  0.154  0.846  0.000
Zr  0.846  0.154  0.000
Zn  0.000  0.000  0.500
Zn  0.500  0.500  0.000
In  0.337  0.663  0.500
In  0.663  0.337  0.500

Summary:
- DOS at the Fermi energy: 2.532 states/eV per cell
- Raw total energy: -26.264 eV per atom
- SG: Cmmm (65)
- Energy of formation from the pure elements: -397.6 meV/atom

---

No. 29
Computed, not measured: a crystal of Zr3ZnIn relaxed with PBEsol at the SCAN level of DFT.

Unit cell a=4.906 b=4.906 c=4.906 alpha=90.00 beta=90.00 gamma=90.00
Sites, in units of the cell vectors:
Zr  0.000  0.000  0.500
Zr  0.000  0.500  0.000
Zr  0.500  0.000  0.000
Zn  0.000  0.000  0.000
In  0.500  0.500  0.500

Summary:
- DOS at the Fermi energy: 4.278 states/eV per cell
- Raw total energy: -27.611 eV per atom
- SG: Pm-3m (221)
- Energy of formation from the pure elements: 188.6 meV/atom